# Cs2CoPdF6 GGA+U relaxed
data_Cs2CoPdF6
_chemical_formula_sum 'Cs12 Co6 Pd6 F36'
_cell_length_a 6.3103
_cell_length_b 6.3103
_cell_length_c 31.3478
_cell_angle_alpha 90.00
_cell_angle_beta 90.00
_cell_angle_gamma 120.00
_symmetry_space_group_name_H-M 'R -3 m'
_symmetry_Int_Tables_number 166
_symmetry_space_group_name_Hall '-R 3 2"'
loop_
_atom_site_label
_atom_site_fract_x
_atom_site_fract_y
_atom_site_fract_z
Cs1 0.0000 0.0000 0.1262
Cs2 0.0000 0.0000 0.2881
Co1 0.0000 0.0000 0.4077
Pd1 0.0000 0.0000 0.0000
Pd2 0.0000 0.0000 0.5000
F1 0.0079 0.5039 0.2932
F2 0.0409 0.5205 0.1186
# * spin magnetization: 29.8 μB per cell
# * raw total energy: -265.3 eV/cell